(1)
VASP calculation (GGA-PBEsol) on Ca2Bi3O8 after structural relaxation.

Calculated values
space-group type	No. 186
N(E_F)	14.2	states/eV per cell
total energy	-6.14	eV/atom

Cell lengths 6.936, 6.936, 10.100 Å; angles 90.00, 90.00, 120.00 degrees
Fractional positions:
O 0.175 0.825 0.838
O 0.476 0.524 0.131
O 0.175 0.350 0.838
O 0.524 0.049 0.631
O 0.524 0.476 0.631
O 0.825 0.175 0.338
O 0.825 0.650 0.338
O 0.350 0.175 0.338
O 0.650 0.825 0.838
O 0.000 0.000 0.153
O 0.951 0.476 0.631
O 0.667 0.333 0.881
O 0.049 0.524 0.131
O 0.476 0.951 0.131
O 0.000 0.000 0.653
O 0.333 0.667 0.381
Bi 0.833 0.167 0.757
Bi 0.833 0.666 0.757
Bi 0.167 0.833 0.257
Bi 0.666 0.833 0.257
Bi 0.334 0.167 0.757
Bi 0.167 0.334 0.257
Ca 0.333 0.667 0.970
Ca 0.333 0.667 0.625
Ca 0.667 0.333 0.470
Ca 0.667 0.333 0.125

(2)
VASP calculation (GGA-PBEsol) on OsPdO3 after structural relaxation.

Calculated values
space-group type	No. 221
N(E_F)	4.5	states/eV per cell
total energy	-7.03	eV/atom

Cell lengths 3.834, 3.834, 3.834 Å; angles 90.00, 90.00, 90.00 degrees
Fractional positions:
Pd 0.500 0.500 0.500
O 0.000 0.500 0.000
O 0.000 0.000 0.500
O 0.500 0.000 0.000
Os 0.000 0.000 0.000

(3)
VASP calculation (GGA-PBEsol) on KAg2H after structural relaxation.

Calculated values
space-group type	No. 225
N(E_F)	1.5	states/eV per cell
total energy	-1.85	eV/atom

Cell lengths 4.848, 4.848, 4.848 Å; angles 60.00, 60.00, 60.00 degrees
Fractional positions:
K 0.500 0.500 0.500
H 0.000 0.000 0.000
Ag 0.250 0.250 0.250
Ag 0.750 0.750 0.750

(4)
VASP calculation (GGA-PBEsol) on TlCdCuBr2 after structural relaxation.

Calculated values
space-group type	No. 123
N(E_F)	3.1	states/eV per cell
total energy	-1.85	eV/atom

Cell lengths 5.412, 5.809, 5.809 Å; angles 90.00, 90.00, 90.00 degrees
Each line ends with the local moment (μB).
Fractional positions:
Tl 0.000 0.000 0.000  0.00
Cd 0.500 0.000 0.000  0.00
Br 0.000 0.000 0.500  0.01
Br 0.000 0.500 0.000  0.01
Cu 0.500 0.500 0.500  0.08

(5)
VASP calculation (GGA-PBEsol) on LaY2Ni after structural relaxation.

Calculated values
space-group type	No. 123
N(E_F)	4.6	states/eV per cell
ΔE_f	-15.09	kJ/mol of atoms

Cell lengths 3.419, 3.419, 8.724 Å; angles 90.00, 90.00, 90.00 degrees
Fractional positions:
La 0.500 0.500 0.000
Y 0.000 0.000 0.319
Y 0.000 0.000 0.681
Ni 0.500 0.500 0.500

(6)
VASP calculation (GGA-PBEsol) on Cu10Sb3 after structural relaxation.

Calculated values
space-group type	No. 176
N(E_F)	5.6	states/eV per cell
total energy	-4.33	eV/atom

Cell lengths 4.228, 9.925, 9.925 Å; angles 120.00, 90.00, 90.00 degrees
Fractional positions:
Sb 0.750 0.256 0.894
Sb 0.750 0.638 0.744
Sb 0.250 0.744 0.106
Sb 0.250 0.894 0.638
Sb 0.250 0.362 0.256
Sb 0.750 0.106 0.362
Cu 0.250 0.050 0.166
Cu 0.750 0.559 0.977
Cu 0.750 0.333 0.667
Cu 0.750 0.950 0.834
Cu 0.250 0.496 0.792
Cu 0.250 0.977 0.418
Cu 0.750 0.504 0.208
Cu 0.250 0.441 0.023
Cu 0.750 0.166 0.116
Cu 0.250 0.582 0.559
Cu 0.750 0.792 0.296
Cu 0.250 0.296 0.504
Cu 0.750 0.023 0.582
Cu 0.750 0.704 0.496
Cu 0.750 0.884 0.050
Cu 0.750 0.418 0.441
Cu 0.250 0.116 0.950
Cu 0.250 0.834 0.884
Cu 0.250 0.667 0.333
Cu 0.250 0.208 0.704